## Tl2I2F (PBE-GGA)

Data for Tl2I2F after structural relaxation.

Summary:
calculated volume = 34.703 Å³ per atom
excess energy over the best structure of this formula in the dataset = 0.370 eV per atom
energy = -2.499 eV per atom
energy relative to the elements, uncorrected = -0.56 eV per atom

Structure (CIF):
```
data_Tl2I2F
_chemical_formula_sum 'Tl4 I4 F2'
_symmetry_space_group_name_H-M 'P 4/m b m'
_symmetry_Int_Tables_number 127
_symmetry_space_group_name_Hall '-P 4 2ab'
_cell_length_a 8.8400
_cell_length_b 8.8400
_cell_length_c 4.4408
_cell_angle_alpha 90.00
_cell_angle_beta 90.00
_cell_angle_gamma 90.00
loop_
_atom_site_label
_atom_site_type_symbol
_atom_site_fract_x
_atom_site_fract_y
_atom_site_fract_z
_atom_site_occupancy
Tl1 Tl 0.1553 0.3447 0.0000 1
I1 I 0.1535 0.6535 0.5000 1
F1 F 0.0000 0.0000 0.5000 1
```

=====

## PmMgAl4 (PBE-GGA)

Data for PmMgAl4 after structural relaxation.

Summary:
calculated volume = 20.427 Å³ per atom
excess energy over the best structure of this formula in the dataset = 0.000 eV per atom
ΔE_f = -0.2877 eV per atom
energy = -3.840 eV per atom

Structure (CIF):
```
data_PmMgAl4
_chemical_formula_sum 'Pm1 Mg1 Al4'
_symmetry_space_group_name_H-M 'P 6/m m m'
_symmetry_Int_Tables_number 191
_symmetry_space_group_name_Hall '-P 6 2'
_cell_length_a 4.6041
_cell_length_b 4.6041
_cell_length_c 6.6765
_cell_angle_alpha 90.00
_cell_angle_beta 90.00
_cell_angle_gamma 120.00
loop_
_atom_site_label
_atom_site_type_symbol
_atom_site_fract_x
_atom_site_fract_y
_atom_site_fract_z
_atom_site_occupancy
Pm1 Pm 0.0000 0.0000 0.0000 1
Mg1 Mg 0.0000 0.0000 0.5000 1
Al1 Al 0.3333 0.6667 0.2823 1
```

=====

## MgAl2ReH (PBE-GGA)

Data for MgAl2ReH after structural relaxation.

Summary:
calculated volume = 17.075 Å³ per atom
energy = -4.488 eV per atom

Structure (CIF):
```
data_MgAl2ReH
_chemical_formula_sum 'Mg1 Al2 Re1 H1'
_symmetry_space_group_name_H-M 'P 4/m m m'
_symmetry_Int_Tables_number 123
_symmetry_space_group_name_Hall '-P 4 2'
_cell_length_a 4.8367
_cell_length_b 4.8367
_cell_length_c 3.6494
_cell_angle_alpha 90.00
_cell_angle_beta 90.00
_cell_angle_gamma 90.00
loop_
_atom_site_label
_atom_site_type_symbol
_atom_site_fract_x
_atom_site_fract_y
_atom_site_fract_z
_atom_site_occupancy
Mg1 Mg 0.0000 0.0000 0.0000 1
Al1 Al 0.0000 0.5000 0.5000 1
Re1 Re 0.5000 0.5000 0.5000 1
H1 H 0.5000 0.5000 0.0000 1
```